The following is a PBE calculation of a geometry-optimized TlGaO2 structure, from the Alexandria database.

Values from the calculation:
Its crystal system is orthorhombic. The value obtained for the energy relative to the lowest polymorph listed for this composition is 161 meV per atom. The formation energy without anion corrections is -1.244 eV/atom.

a b c (Å): 7.2135 2.9574 12.6160
angles (deg): 90.00 90.00 90.00
Fractional positions:
Tl  0.0441  0.2500  0.1410
Tl  0.4559  0.7500  0.6410
Tl  0.5441  0.2500  0.3590
Tl  0.9559  0.7500  0.8590
Ga  0.0482  0.7500  0.4047
Ga  0.4518  0.2500  0.9047
Ga  0.5482  0.7500  0.0953
Ga  0.9518  0.2500  0.5953
O  0.1344  0.7500  0.5509
O  0.1538  0.2500  0.3253
O  0.3462  0.7500  0.8253
O  0.3656  0.2500  0.0509
O  0.6344  0.7500  0.9491
O  0.6538  0.2500  0.1747
O  0.8462  0.7500  0.6747
O  0.8656  0.2500  0.4491


The following is a PBE calculation of a geometry-optimized Sr6Ag2Pd structure, from the Alexandria database.

Values from the calculation:
Its crystal system is monoclinic. The formation enthalpy at 0 K is -28.5 kJ/mol of atoms.

a b c (Å): 7.4883 8.5507 13.2913
angles (deg): 90.00 123.81 90.00
Fractional positions:
Sr  0.0969  0.1847  0.4368
Sr  0.0969  0.3153  0.9368
Sr  0.2693  0.6723  0.4345
Sr  0.2693  0.8277  0.9345
Sr  0.3958  0.0392  0.2509
Sr  0.3958  0.4608  0.7509
Sr  0.6042  0.5392  0.2491
Sr  0.6042  0.9608  0.7491
Sr  0.7307  0.1723  0.0655
Sr  0.7307  0.3277  0.5655
Sr  0.9031  0.6847  0.0632
Sr  0.9031  0.8153  0.5632
Ag  0.1922  0.1166  0.7445
Ag  0.1922  0.3834  0.2445
Ag  0.8078  0.6166  0.7555
Ag  0.8078  0.8834  0.2555
Pd  0.0000  0.0000  0.0000
Pd  0.0000  0.5000  0.5000